Record 1
# PrHo2Tl3, relaxed, DFT PBE
# magnetic moment = 0.0 μB per formula unit
# formation enthalpy at 0 K = -0.36 eV per atom
data_PrHo2Tl3
_chemical_formula_sum 'Pr1 Ho2 Tl3'
_cell_length_a 3.790
_cell_length_b 3.790
_cell_length_c 11.744
_cell_angle_alpha 90.00
_cell_angle_beta 90.00
_cell_angle_gamma 90.00
_space_group_name_H-M_alt 'P 4/m m m'
_space_group_IT_number 123
_space_group_name_Hall '-P 4 2'
loop_
_atom_site_label
_atom_site_fract_x
_atom_site_fract_y
_atom_site_fract_z
Pr1 0.000 0.000 0.000
Ho1 0.000 0.000 0.339
Tl1 0.500 0.500 0.180
Tl2 0.500 0.500 0.500



Record 2
# Pr12Ho2Tl, relaxed, DFT PBE
# magnetic moment = 0.0 μB per formula unit
# formation enthalpy at 0 K = 0.24 eV per atom
data_Pr12Ho2Tl
_chemical_formula_sum 'Pr24 Ho4 Tl2'
_cell_length_a 6.779
_cell_length_b 6.779
_cell_length_c 24.107
_cell_angle_alpha 90.00
_cell_angle_beta 90.00
_cell_angle_gamma 90.00
_space_group_name_H-M_alt 'P 4/n b m'
_space_group_IT_number 125
loop_
_space_group_symop_operation_xyz
'x,y,z'
'-x,-y,-z'
'-y+1/2,x,z'
'y+1/2,-x,-z'
'-x+1/2,-y+1/2,z'
'x+1/2,y+1/2,-z'
'y,-x+1/2,z'
'-y,x+1/2,-z'
'x,-y+1/2,-z'
'-x,y+1/2,z'
'-y+1/2,-x+1/2,-z'
'y+1/2,x+1/2,z'
'-x+1/2,y,-z'
'x+1/2,-y,z'
'y,x,-z'
'-y,-x,z'
loop_
_atom_site_label
_atom_site_fract_x
_atom_site_fract_y
_atom_site_fract_z
Pr1 0.005 0.505 0.093
Pr2 0.083 0.583 0.566
Pr3 0.250 0.250 0.200
Pr4 0.250 0.250 0.327
Ho1 0.250 0.750 0.248
Tl1 0.250 0.750 0.000



Record 3
# Pr8Ho2Tl, relaxed, DFT PBE
# magnetic moment = 0.0 μB per formula unit
# formation enthalpy at 0 K = 0.07 eV per atom
# excess energy over the best structure of this formula in the dataset = 117.2 meV/atom
data_Pr8Ho2Tl
_chemical_formula_sum 'Pr16 Ho4 Tl2'
_cell_length_a 10.539
_cell_length_b 13.345
_cell_length_c 5.510
_cell_angle_alpha 90.00
_cell_angle_beta 90.09
_cell_angle_gamma 90.00
_space_group_name_H-M_alt 'C 1 2/m 1'
_space_group_IT_number 12
loop_
_space_group_symop_operation_xyz
'x,y,z'
'-x,-y,-z'
'-x,y,-z'
'x,-y,z'
'x+1/2,y+1/2,z'
'-x+1/2,-y+1/2,-z'
'-x+1/2,y+1/2,-z'
'x+1/2,-y+1/2,z'
loop_
_atom_site_label
_atom_site_fract_x
_atom_site_fract_y
_atom_site_fract_z
Pr1 0.000 0.248 0.000
Pr2 0.164 0.364 0.501
Pr3 0.166 0.000 0.000
Ho1 0.000 0.121 0.500
Tl1 0.000 0.500 0.000



Record 4
# Pr2Ho6Tl, relaxed, DFT PBE
# magnetic moment = 0.0 μB per formula unit
# formation enthalpy at 0 K = 0.00 eV per atom
data_Pr2Ho6Tl
_chemical_formula_sum 'Pr4 Ho12 Tl2'
_cell_length_a 3.519
_cell_length_b 10.207
_cell_length_c 15.927
_cell_angle_alpha 90.00
_cell_angle_beta 90.00
_cell_angle_gamma 90.00
_space_group_name_H-M_alt 'I m m m'
_space_group_IT_number 71
_space_group_name_Hall '-I 2 2'
loop_
_atom_site_label
_atom_site_fract_x
_atom_site_fract_y
_atom_site_fract_z
Pr1 0.000 0.000 0.151
Ho1 0.000 0.297 0.500
Ho2 0.000 0.338 0.177
Tl1 0.000 0.500 0.000



> Which formula does entry 4 have?

Pr2Ho6Tl